# 1
HoTmCuTe3: optimized geometry, PBE-GGA.

The structure in CIF format:
```
data_HoTmCuTe3
_chemical_formula_sum 'Ho4 Tm4 Cu4 Te12'
_symmetry_space_group_name_H-M 'P n m a'
_symmetry_Int_Tables_number 62
_cell_length_a 10.991
_cell_length_b 4.084
_cell_length_c 14.225
_cell_angle_alpha 90.00
_cell_angle_beta 90.00
_cell_angle_gamma 90.00
loop_
_symmetry_equiv_pos_as_xyz
'x,y,z'
'-x,-y,-z'
'-x+1/2,-y,z+1/2'
'x+1/2,y,-z+1/2'
'x+1/2,-y+1/2,-z+1/2'
'-x+1/2,y+1/2,z+1/2'
'-x,y+1/2,-z'
'x,-y+1/2,z'
loop_
_atom_site_label
_atom_site_type_symbol
_atom_site_fract_x
_atom_site_fract_y
_atom_site_fract_z
Ho1 Ho 0.221 0.250 0.018
Tm1 Tm 0.022 0.750 0.745
Cu1 Cu 0.235 0.750 0.222
Te1 Te 0.041 0.750 0.106
Te2 Te 0.092 0.250 0.596
Te3 Te 0.232 0.250 0.346
```

***

# 2
HoTmCuTe3: optimized geometry, PBE-GGA.

The structure in CIF format:
```
data_HoTmCuTe3
_chemical_formula_sum 'Ho4 Tm4 Cu4 Te12'
_symmetry_space_group_name_H-M 'C m c m'
_symmetry_Int_Tables_number 63
_symmetry_space_group_name_Hall '-C 2c 2'
_cell_length_a 4.101
_cell_length_b 14.199
_cell_length_c 10.947
_cell_angle_alpha 90.00
_cell_angle_beta 90.00
_cell_angle_gamma 90.00
loop_
_atom_site_label
_atom_site_type_symbol
_atom_site_fract_x
_atom_site_fract_y
_atom_site_fract_z
Ho1 Ho 0.000 0.226 0.250
Tm1 Tm 0.000 0.000 0.000
Cu1 Cu 0.000 0.471 0.750
Te1 Te 0.000 0.098 0.750
Te2 Te 0.000 0.351 0.565
```

***

# 3
Ho3Tm3CuTe2: optimized geometry, PBE-GGA.

The structure in CIF format:
```
data_Ho3Tm3CuTe2
_chemical_formula_sum 'Ho3 Tm3 Cu1 Te2'
_symmetry_space_group_name_H-M 'P -6 2 m'
_symmetry_Int_Tables_number 189
_symmetry_space_group_name_Hall 'P -6 -2'
_cell_length_a 8.3332
_cell_length_b 8.3332
_cell_length_c 3.9096
_cell_angle_alpha 90.00
_cell_angle_beta 90.00
_cell_angle_gamma 120.00
loop_
_atom_site_label
_atom_site_type_symbol
_atom_site_fract_x
_atom_site_fract_y
_atom_site_fract_z
Ho1 Ho 0.0000 0.4015 0.0000
Tm1 Tm 0.0000 0.7578 0.5000
Cu1 Cu 0.0000 0.0000 0.0000
Te1 Te 0.3333 0.6667 0.5000
```

***

# 4
YHo2Tm3CuTe2: optimized geometry, PBE-GGA.

The structure in CIF format:
```
data_YHo2Tm3CuTe2
_chemical_formula_sum 'Y2 Ho4 Tm6 Cu2 Te4'
_symmetry_space_group_name_H-M 'A m m 2'
_symmetry_Int_Tables_number 38
_cell_length_a 3.933
_cell_length_b 14.427
_cell_length_c 8.345
_cell_angle_alpha 90.00
_cell_angle_beta 90.00
_cell_angle_gamma 90.00
loop_
_symmetry_equiv_pos_as_xyz
'x,y,z'
'-x,-y,z'
'-x,y,z'
'x,-y,z'
'x,y+1/2,z+1/2'
'-x,-y+1/2,z+1/2'
'-x,y+1/2,z+1/2'
'x,-y+1/2,z+1/2'
loop_
_atom_site_label
_atom_site_type_symbol
_atom_site_fract_x
_atom_site_fract_y
_atom_site_fract_z
Y1 Y 0.000 0.000 0.000
Ho1 Ho 0.000 0.201 0.603
Tm1 Tm 0.500 0.000 0.643
Tm2 Tm 0.500 0.121 0.282
Cu1 Cu 0.000 0.000 0.402
Te1 Te 0.500 0.167 0.902
```

***

# 5
Y2HoTm3CuTe2: optimized geometry, PBE-GGA.

The structure in CIF format:
```
data_Y2HoTm3CuTe2
_chemical_formula_sum 'Y4 Ho2 Tm6 Cu2 Te4'
_symmetry_space_group_name_H-M 'A m m 2'
_symmetry_Int_Tables_number 38
_cell_length_a 3.938
_cell_length_b 14.434
_cell_length_c 8.322
_cell_angle_alpha 90.00
_cell_angle_beta 90.00
_cell_angle_gamma 90.00
loop_
_symmetry_equiv_pos_as_xyz
'x,y,z'
'-x,-y,z'
'-x,y,z'
'x,-y,z'
'x,y+1/2,z+1/2'
'-x,-y+1/2,z+1/2'
'-x,y+1/2,z+1/2'
'x,-y+1/2,z+1/2'
loop_
_atom_site_label
_atom_site_type_symbol
_atom_site_fract_x
_atom_site_fract_y
_atom_site_fract_z
Y1 Y 0.000 0.201 0.000
Ho1 Ho 0.000 0.000 0.397
Tm1 Tm 0.500 0.000 0.040
Tm2 Tm 0.500 0.120 0.678
Cu1 Cu 0.000 0.000 0.799
Te1 Te 0.500 0.167 0.299
```

***

# 6
Y2Ho4CuTe2: optimized geometry, PBE-GGA.

The structure in CIF format:
```
data_Y2Ho4CuTe2
_chemical_formula_sum 'Y4 Ho8 Cu2 Te4'
_symmetry_space_group_name_H-M 'A m m 2'
_symmetry_Int_Tables_number 38
_cell_length_a 3.935
_cell_length_b 14.518
_cell_length_c 8.364
_cell_angle_alpha 90.00
_cell_angle_beta 90.00
_cell_angle_gamma 90.00
loop_
_symmetry_equiv_pos_as_xyz
'x,y,z'
'-x,-y,z'
'-x,y,z'
'x,-y,z'
'x,y+1/2,z+1/2'
'-x,-y+1/2,z+1/2'
'-x,y+1/2,z+1/2'
'x,-y+1/2,z+1/2'
loop_
_atom_site_label
_atom_site_type_symbol
_atom_site_fract_x
_atom_site_fract_y
_atom_site_fract_z
Y1 Y 0.000 0.202 0.000
Ho1 Ho 0.000 0.000 0.395
Ho2 Ho 0.500 0.000 0.041
Ho3 Ho 0.500 0.121 0.677
Cu1 Cu 0.000 0.000 0.798
Te1 Te 0.500 0.167 0.299
```

***

# 7
Ho3Zr3CuTe2: optimized geometry, PBE-GGA.

The structure in CIF format:
```
data_Ho3Zr3CuTe2
_chemical_formula_sum 'Ho3 Zr3 Cu1 Te2'
_symmetry_space_group_name_H-M 'P -6 2 m'
_symmetry_Int_Tables_number 189
_symmetry_space_group_name_Hall 'P -6 -2'
_cell_length_a 7.9167
_cell_length_b 7.9167
_cell_length_c 4.0030
_cell_angle_alpha 90.00
_cell_angle_beta 90.00
_cell_angle_gamma 120.00
loop_
_atom_site_label
_atom_site_type_symbol
_atom_site_fract_x
_atom_site_fract_y
_atom_site_fract_z
Ho1 Ho 0.0000 0.6006 0.0000
Zr1 Zr 0.0000 0.2318 0.5000
Cu1 Cu 0.0000 0.0000 0.0000
Te1 Te 0.3333 0.6667 0.5000
```

***

# 8
Ho3Zr3CuTe2: optimized geometry, PBE-GGA.

The structure in CIF format:
```
data_Ho3Zr3CuTe2
_chemical_formula_sum 'Ho3 Zr3 Cu1 Te2'
_symmetry_space_group_name_H-M 'P -6 2 m'
_symmetry_Int_Tables_number 189
_symmetry_space_group_name_Hall 'P -6 -2'
_cell_length_a 8.1252
_cell_length_b 8.1252
_cell_length_c 3.7268
_cell_angle_alpha 90.00
_cell_angle_beta 90.00
_cell_angle_gamma 120.00
loop_
_atom_site_label
_atom_site_type_symbol
_atom_site_fract_x
_atom_site_fract_y
_atom_site_fract_z
Ho1 Ho 0.0000 0.2480 0.0000
Zr1 Zr 0.0000 0.5901 0.5000
Cu1 Cu 0.0000 0.0000 0.5000
Te1 Te 0.3333 0.6667 0.0000
```

***

# 9
HoTlCu: optimized geometry, PBE-GGA.

The structure in CIF format:
```
data_HoTlCu
_chemical_formula_sum 'Ho4 Tl4 Cu4'
_symmetry_space_group_name_H-M 'F -4 3 m'
_symmetry_Int_Tables_number 216
_symmetry_space_group_name_Hall 'F -4 2 3'
_cell_length_a 6.881
_cell_length_b 6.881
_cell_length_c 6.881
_cell_angle_alpha 90.00
_cell_angle_beta 90.00
_cell_angle_gamma 90.00
loop_
_atom_site_label
_atom_site_type_symbol
_atom_site_fract_x
_atom_site_fract_y
_atom_site_fract_z
Ho1 Ho 0.000 0.000 0.000
Tl1 Tl 0.250 0.250 0.250
Cu1 Cu 0.250 0.250 0.750
```

***

# 10
HoTlCu: optimized geometry, PBE-GGA.

The structure in CIF format:
```
data_HoTlCu
_chemical_formula_sum 'Ho4 Tl4 Cu4'
_symmetry_space_group_name_H-M 'F -4 3 m'
_symmetry_Int_Tables_number 216
_symmetry_space_group_name_Hall 'F -4 2 3'
_cell_length_a 6.524
_cell_length_b 6.524
_cell_length_c 6.524
_cell_angle_alpha 90.00
_cell_angle_beta 90.00
_cell_angle_gamma 90.00
loop_
_atom_site_label
_atom_site_type_symbol
_atom_site_fract_x
_atom_site_fract_y
_atom_site_fract_z
Ho1 Ho 0.000 0.000 0.000
Tl1 Tl 0.000 0.000 0.500
Cu1 Cu 0.250 0.250 0.250
```

***

# 11
HoTlCu: optimized geometry, PBE-GGA.

The structure in CIF format:
```
data_HoTlCu
_chemical_formula_sum 'Ho4 Tl4 Cu4'
_symmetry_space_group_name_H-M 'P n m a'
_symmetry_Int_Tables_number 62
_cell_length_a 7.170
_cell_length_b 4.651
_cell_length_c 7.863
_cell_angle_alpha 90.00
_cell_angle_beta 90.00
_cell_angle_gamma 90.00
loop_
_symmetry_equiv_pos_as_xyz
'x,y,z'
'-x,-y,-z'
'-x+1/2,-y,z+1/2'
'x+1/2,y,-z+1/2'
'x+1/2,-y+1/2,-z+1/2'
'-x+1/2,y+1/2,z+1/2'
'-x,y+1/2,-z'
'x,-y+1/2,z'
loop_
_atom_site_label
_atom_site_type_symbol
_atom_site_fract_x
_atom_site_fract_y
_atom_site_fract_z
Ho1 Ho 0.010 0.250 0.220
Tl1 Tl 0.209 0.250 0.590
Cu1 Cu 0.205 0.750 0.422
```

***

# 12
HoTmTlCu2: optimized geometry, PBE-GGA.

The structure in CIF format:
```
data_HoTmTlCu2
_chemical_formula_sum 'Ho2 Tm2 Tl2 Cu4'
_symmetry_space_group_name_H-M 'A m m 2'
_symmetry_Int_Tables_number 38
_cell_length_a 3.673
_cell_length_b 4.051
_cell_length_c 14.126
_cell_angle_alpha 90.00
_cell_angle_beta 90.00
_cell_angle_gamma 90.00
loop_
_symmetry_equiv_pos_as_xyz
'x,y,z'
'-x,-y,z'
'-x,y,z'
'x,-y,z'
'x,y+1/2,z+1/2'
'-x,-y+1/2,z+1/2'
'-x,y+1/2,z+1/2'
'x,-y+1/2,z+1/2'
loop_
_atom_site_label
_atom_site_type_symbol
_atom_site_fract_x
_atom_site_fract_y
_atom_site_fract_z
Ho1 Ho 0.000 0.000 0.000
Tm1 Tm 0.000 0.000 0.270
Tl1 Tl 0.500 0.000 0.635
Cu1 Cu 0.500 0.000 0.433
Cu2 Cu 0.500 0.000 0.835
```

***

# 13
YHoTlCu2: optimized geometry, PBE-GGA.

The structure in CIF format:
```
data_YHoTlCu2
_chemical_formula_sum 'Y2 Ho2 Tl2 Cu4'
_symmetry_space_group_name_H-M 'A m m 2'
_symmetry_Int_Tables_number 38
_cell_length_a 3.624
_cell_length_b 4.256
_cell_length_c 14.078
_cell_angle_alpha 90.00
_cell_angle_beta 90.00
_cell_angle_gamma 90.00
loop_
_symmetry_equiv_pos_as_xyz
'x,y,z'
'-x,-y,z'
'-x,y,z'
'x,-y,z'
'x,y+1/2,z+1/2'
'-x,-y+1/2,z+1/2'
'-x,y+1/2,z+1/2'
'x,-y+1/2,z+1/2'
loop_
_atom_site_label
_atom_site_type_symbol
_atom_site_fract_x
_atom_site_fract_y
_atom_site_fract_z
Y1 Y 0.000 0.000 0.000
Ho1 Ho 0.000 0.000 0.731
Tl1 Tl 0.500 0.000 0.366
Cu1 Cu 0.500 0.000 0.163
Cu2 Cu 0.500 0.000 0.569
```

***

# 14
# HoTmCu2 | the Open Quantum Materials Database | PBE-GGA | optimized geometry
# Energy of formation in eV/atom: -0.270
data_HoTmCu2
_chemical_formula_sum 'Ho2 Tm2 Cu4'
_symmetry_space_group_name_H-M 'A m m 2'
_symmetry_Int_Tables_number 38
_cell_length_a 4.463
_cell_length_b 3.642
_cell_length_c 10.198
_cell_angle_alpha 90.00
_cell_angle_beta 90.00
_cell_angle_gamma 90.00
loop_
_symmetry_equiv_pos_as_xyz
'x,y,z'
'-x,-y,z'
'-x,y,z'
'x,-y,z'
'x,y+1/2,z+1/2'
'-x,-y+1/2,z+1/2'
'-x,y+1/2,z+1/2'
'x,-y+1/2,z+1/2'
loop_
_atom_site_label
_atom_site_type_symbol
_atom_site_fract_x
_atom_site_fract_y
_atom_site_fract_z
Ho1 Ho 0.000 0.000 0.000
Tm1 Tm 0.500 0.000 0.720
Cu1 Cu 0.000 0.000 0.286
Cu2 Cu 0.500 0.000 0.432

***

# 15
# HoTm2Zn3Cu3 | the Open Quantum Materials Database | PBE-GGA | optimized geometry
# Energy of formation in eV/atom: -0.348
data_HoTm2Zn3Cu3
_chemical_formula_sum 'Ho2 Tm4 Zn6 Cu6'
_symmetry_space_group_name_H-M 'A m m 2'
_symmetry_Int_Tables_number 38
_cell_length_a 3.853
_cell_length_b 12.136
_cell_length_c 7.007
_cell_angle_alpha 90.00
_cell_angle_beta 90.00
_cell_angle_gamma 90.00
loop_
_symmetry_equiv_pos_as_xyz
'x,y,z'
'-x,-y,z'
'-x,y,z'
'x,-y,z'
'x,y+1/2,z+1/2'
'-x,-y+1/2,z+1/2'
'-x,y+1/2,z+1/2'
'x,-y+1/2,z+1/2'
loop_
_atom_site_label
_atom_site_type_symbol
_atom_site_fract_x
_atom_site_fract_y
_atom_site_fract_z
Ho1 Ho 0.000 0.000 0.000
Tm1 Tm 0.000 0.206 0.382
Zn1 Zn 0.500 0.000 0.345
Zn2 Zn 0.500 0.122 0.708
Cu1 Cu 0.000 0.000 0.586
Cu2 Cu 0.500 0.168 0.088

***

# 16
# HoCuW | the Open Quantum Materials Database | PBE-GGA | optimized geometry
# Energy of formation in eV/atom: 1.603
data_HoCuW
_chemical_formula_sum 'Ho4 Cu4 W4'
_symmetry_space_group_name_H-M 'F -4 3 m'
_symmetry_Int_Tables_number 216
_symmetry_space_group_name_Hall 'F -4 2 3'
_cell_length_a 6.485
_cell_length_b 6.485
_cell_length_c 6.485
_cell_angle_alpha 90.00
_cell_angle_beta 90.00
_cell_angle_gamma 90.00
loop_
_atom_site_label
_atom_site_type_symbol
_atom_site_fract_x
_atom_site_fract_y
_atom_site_fract_z
Ho1 Ho 0.000 0.000 0.000
Cu1 Cu 0.250 0.250 0.750
W1 W 0.250 0.250 0.250

***

# 17
# YHoCu | the Open Quantum Materials Database | PBE-GGA | optimized geometry
# Energy of formation in eV/atom: 0.744
data_YHoCu
_chemical_formula_sum 'Y4 Ho4 Cu4'
_symmetry_space_group_name_H-M 'F -4 3 m'
_symmetry_Int_Tables_number 216
_symmetry_space_group_name_Hall 'F -4 2 3'
_cell_length_a 6.746
_cell_length_b 6.746
_cell_length_c 6.746
_cell_angle_alpha 90.00
_cell_angle_beta 90.00
_cell_angle_gamma 90.00
loop_
_atom_site_label
_atom_site_type_symbol
_atom_site_fract_x
_atom_site_fract_y
_atom_site_fract_z
Y1 Y 0.000 0.000 0.000
Ho1 Ho 0.250 0.250 0.250
Cu1 Cu 0.250 0.250 0.750

***

# 18
# YHoCu2 | the Open Quantum Materials Database | PBE-GGA | optimized geometry
# Energy of formation in eV/atom: -0.265
data_YHoCu2
_chemical_formula_sum 'Y2 Ho2 Cu4'
_symmetry_space_group_name_H-M 'P m n 21'
_symmetry_Int_Tables_number 31
_cell_length_a 4.445
_cell_length_b 7.102
_cell_length_c 5.372
_cell_angle_alpha 90.00
_cell_angle_beta 90.00
_cell_angle_gamma 90.00
loop_
_symmetry_equiv_pos_as_xyz
'x,y,z'
'-x+1/2,-y,z+1/2'
'-x,y,z'
'x+1/2,-y,z+1/2'
loop_
_atom_site_label
_atom_site_type_symbol
_atom_site_fract_x
_atom_site_fract_y
_atom_site_fract_z
Y1 Y 0.000 0.069 0.000
Ho1 Ho 0.000 0.569 0.233
Cu1 Cu 0.000 0.221 0.493
Cu2 Cu 0.000 0.713 0.741

***

# 19
# YHoCu2 | the Open Quantum Materials Database | PBE-GGA | optimized geometry
# Energy of formation in eV/atom: -0.259
data_YHoCu2
_chemical_formula_sum 'Y2 Ho2 Cu4'
_symmetry_space_group_name_H-M 'P m c 21'
_symmetry_Int_Tables_number 26
_cell_length_a 4.370
_cell_length_b 5.392
_cell_length_c 7.095
_cell_angle_alpha 90.00
_cell_angle_beta 90.00
_cell_angle_gamma 90.00
loop_
_symmetry_equiv_pos_as_xyz
'x,y,z'
'-x,-y,z+1/2'
'-x,y,z'
'x,-y,z+1/2'
loop_
_atom_site_label
_atom_site_type_symbol
_atom_site_fract_x
_atom_site_fract_y
_atom_site_fract_z
Y1 Y 0.000 0.119 0.000
Ho1 Ho 0.500 0.381 0.638
Cu1 Cu 0.000 0.376 0.354
Cu2 Cu 0.500 0.127 0.285

***

# 20
# YHoCu2 | the Open Quantum Materials Database | PBE-GGA | optimized geometry
# Energy of formation in eV/atom: -0.256
data_YHoCu2
_chemical_formula_sum 'Y2 Ho2 Cu4'
_symmetry_space_group_name_H-M 'A m m 2'
_symmetry_Int_Tables_number 38
_cell_length_a 4.499
_cell_length_b 3.682
_cell_length_c 10.319
_cell_angle_alpha 90.00
_cell_angle_beta 90.00
_cell_angle_gamma 90.00
loop_
_symmetry_equiv_pos_as_xyz
'x,y,z'
'-x,-y,z'
'-x,y,z'
'x,-y,z'
'x,y+1/2,z+1/2'
'-x,-y+1/2,z+1/2'
'-x,y+1/2,z+1/2'
'x,-y+1/2,z+1/2'
loop_
_atom_site_label
_atom_site_type_symbol
_atom_site_fract_x
_atom_site_fract_y
_atom_site_fract_z
Y1 Y 0.000 0.000 0.000
Ho1 Ho 0.500 0.000 0.278
Cu1 Cu 0.000 0.000 0.714
Cu2 Cu 0.500 0.000 0.567

***

| no. | total magnetic moment (μB/cell) | VASP energy (eV per atom) |
| --- | --- | --- |
| 1 | 0.1 | -4.664 |
| 2 | 0.0 | -4.663 |
| 3 | 0.1 | -4.763 |
| 4 | 0.5 | -4.981 |
| 5 | 0.4 | -5.199 |
| 6 | 0.4 | -5.231 |
| 7 | 0.4 | -6.075 |
| 8 | 0.0 | -5.950 |
| 9 | 0.0 | -3.244 |
| 10 | 0.0 | -3.741 |
| 11 | 0.0 | -3.791 |
| 12 | 0.0 | -4.088 |
| 13 | 0.1 | -4.495 |
| 14 | 0.0 | -4.391 |
| 15 | 0.0 | -3.511 |
| 16 | 11.1 | -5.482 |
| 17 | 0.0 | -4.176 |
| 18 | 0.0 | -4.884 |
| 19 | 0.0 | -4.878 |
| 20 | 0.0 | -4.875 |